First-principles (PBE-GGA) data for a relaxed Sr2Ta2Sn crystal, as listed in Alexandria.

The structure in extended XYZ format:
```
5
Lattice="3.739 0.000 0.000 0.000 3.739 0.000 1.870 1.870 10.988" Properties=species:S:1:pos:R:3 pbc="T T T"
Sr 1.870 1.870 2.307
Sr 3.739 3.739 8.681
Sn 0.000 0.000 0.000
Ta 3.739 1.870 5.494
Ta 1.870 3.739 5.494
```

Values from the calculation:
* SG: I4/mmm (139)
* N(E_F): 5.74 states/eV per cell
* energy above the lowest structure with this stoichiometry: 0.000 eV per atom
* size of the total moment: 0.000 μB/atom

=====

First-principles (PBE-GGA) data for a relaxed Y2NiCl crystal, as listed in Alexandria.

The structure in extended XYZ format:
```
4
Lattice="3.395 0.000 0.000 0.000 3.481 0.000 0.000 0.010 7.945" Properties=species:S:1:pos:R:3 pbc="T T T"
Cl 1.697 0.873 1.986
Ni 1.697 2.618 5.959
Y 0.000 0.878 7.574
Y 0.000 0.877 4.343
```

Values from the calculation:
* SG: P2/m (10)
* N(E_F): 3.08 states/eV per cell
* energy above the lowest structure with this stoichiometry: 0.082 eV per atom
* size of the total moment: 0.000 μB/atom

=====

Question: What is the energy above the lowest structure with this stoichiometry in the second record?
Answer: 0.082 eV per atom